Here is an optimized crystal structure of CaZn4Ag6 from Alexandria. Energies are from PBE.

The structure belongs to space group I-42m (No. 121); the cell edges are 6.693, 6.693 and 9.881 Å and the angles 90.00°, 90.00° and 90.00°. The inequivalent atoms are Ca at (0.000, 0.000, 0.000), Zn at (0.155, 0.155, 0.583), Ag at (0.000, 0.500, 0.000) and Ag at (0.210, 0.210, 0.306).

Here is an optimized crystal structure of CaZn2Ag4 from Alexandria. Energies are from PBE.

The structure belongs to space group I4/mmm (No. 139); the cell edges are 8.412, 8.412 and 5.083 Å and the angles 90.00°, 90.00° and 90.00°. The inequivalent atoms are Ca at (0.000, 0.000, 0.000), Zn at (0.000, 0.500, 0.250) and Ag at (0.000, 0.230, 0.500).

Here is an optimized crystal structure of Ca2Zn2Ag from Alexandria. Energies are from PBE.

The structure belongs to space group C2/c (No. 15); the cell edges are 10.185, 5.913 and 8.077 Å and the angles 90.00°, 103.30° and 90.00°. The inequivalent atoms are Ca at (0.148, 0.132, 0.148), Zn at (0.136, 0.363, 0.500) and Ag at (0.000, 0.350, 0.750).

Here is an optimized crystal structure of Ca5Zn2Ag12 from Alexandria. Energies are from PBE.

The structure belongs to space group C2/m (No. 12); the cell edges are 15.516, 7.619 and 7.043 Å and the angles 90.00°, 92.88° and 90.00°. The inequivalent atoms are Ca at (0.000, 0.000, 0.000), Ca at (0.195, 0.500, 0.539), Ca at (0.243, 0.000, 0.935), Zn at (0.000, 0.305, 0.500), Ag at (0.055, 0.500, 0.184), Ag at (0.096, 0.000, 0.594), Ag at (0.103, 0.302, 0.846) and Ag at (0.143, 0.187, 0.257).

Here is an optimized crystal structure of Ca2Zn4Ag5 from Alexandria. Energies are from PBE.

The structure belongs to space group C2/m (No. 12); the cell edges are 12.524, 5.664 and 8.832 Å and the angles 90.00°, 134.79° and 90.00°. The inequivalent atoms are Ca at (0.221, 0.000, 0.221), Zn at (0.247, 0.500, 0.087), Zn at (0.247, 0.500, 0.406), Ag at (0.000, 0.250, 0.295) and Ag at (0.000, 0.500, 0.000).

Here is an optimized crystal structure of Ca2Zn5Ag3 from Alexandria. Energies are from PBE.

The structure belongs to space group Ibam (No. 72); the cell edges are 11.597, 11.865 and 5.955 Å and the angles 90.00°, 90.00° and 90.00°. The inequivalent atoms are Ca at (0.237, 0.126, 0.000), Zn at (0.000, 0.265, 0.250), Zn at (0.000, 0.500, 0.250), Zn at (0.127, 0.139, 0.500), Ag at (0.000, 0.000, 0.250) and Ag at (0.151, 0.384, 0.000).

Here is an optimized crystal structure of Ca2ZnAg2 from Alexandria. Energies are from PBE.

The structure belongs to space group I4/mmm (No. 139); the cell edges are 5.859, 5.859 and 7.841 Å and the angles 90.00°, 90.00° and 90.00°. The inequivalent atoms are Ca at (0.000, 0.500, 0.250), Zn at (0.000, 0.000, 0.000) and Ag at (0.000, 0.000, 0.332).

Here is an optimized crystal structure of CaZnAg2 from Alexandria. Energies are from PBE.

The structure belongs to space group Pnma (No. 62); the cell edges are 15.996, 7.444 and 5.659 Å and the angles 90.00°, 90.00° and 90.00°. The inequivalent atoms are Ca at (0.107, 0.250, 0.234), Ca at (0.142, 0.750, 0.475), Zn at (0.069, 0.750, 0.978), Zn at (0.182, 0.250, 0.727), Ag at (0.035, 0.057, 0.734) and Ag at (0.215, 0.557, 0.950).

Here is an optimized crystal structure of Ca2Zn5Ag4 from Alexandria. Energies are from PBE.

The structure belongs to space group C2/m (No. 12); the cell edges are 12.605, 5.313 and 8.536 Å and the angles 90.00°, 124.67° and 90.00°. The inequivalent atoms are Ca at (0.212, 0.000, 0.264), Zn at (0.000, 0.500, 0.000), Zn at (0.033, 0.252, 0.756), Ag at (0.132, 0.000, 0.555) and Ag at (0.231, 0.500, 0.054).

Here is an optimized crystal structure of CaZn4Ag4 from Alexandria. Energies are from PBE.

The structure belongs to space group P4_2/n (No. 86, origin choice 2); the cell edges are 8.608, 8.608 and 4.696 Å and the angles 90.00°, 90.00° and 90.00°. The inequivalent atoms are Ca at (0.250, 0.250, 0.250), Zn at (0.028, 0.126, 0.749) and Ag at (0.113, 0.833, 0.751).

Here is an optimized crystal structure of CaZn2Ag from Alexandria. Energies are from PBE.

The structure belongs to space group C2/m (No. 12); the cell edges are 7.795, 4.508 and 5.587 Å and the angles 90.00°, 117.88° and 90.00°. The inequivalent atoms are Ca at (0.000, 0.000, 0.000), Zn at (0.207, 0.000, 0.620) and Ag at (0.000, 0.500, 0.500).

Here is an optimized crystal structure of Ca6ZnAg from Alexandria. Energies are from PBE.

The structure belongs to space group I4/mmm (No. 139); the cell edges are 5.325, 5.325 and 18.909 Å and the angles 90.00°, 90.00° and 90.00°. The inequivalent atoms are Ca at (0.000, 0.000, 0.249), Ca at (0.000, 0.500, 0.095), Zn at (0.000, 0.000, 0.000) and Ag at (0.000, 0.000, 0.500).

Here is an optimized crystal structure of CaZnAg2 from Alexandria. Energies are from PBE.

The structure belongs to space group Cmcm (No. 63); the cell edges are 3.829, 20.200 and 4.539 Å and the angles 90.00°, 90.00° and 90.00°. The inequivalent atoms are Ca at (0.000, 0.101, 0.250), Zn at (0.000, 0.333, 0.250), Ag at (0.000, 0.261, 0.750) and Ag at (0.000, 0.461, 0.250).

Here is an optimized crystal structure of Ca5ZnAg4 from Alexandria. Energies are from PBE.

The structure belongs to space group P4/mmm (No. 123); the cell edges are 3.727, 3.727 and 18.329 Å and the angles 90.00°, 90.00° and 90.00°. The inequivalent atoms are Ca at (0.000, 0.000, 0.000), Ca at (0.000, 0.000, 0.200), Ca at (0.000, 0.000, 0.401), Zn at (0.500, 0.500, 0.500), Ag at (0.500, 0.500, 0.100) and Ag at (0.500, 0.500, 0.300).

Here is an optimized crystal structure of Ca5Zn4Ag from Alexandria. Energies are from PBE.

The structure belongs to space group P4/mmm (No. 123); the cell edges are 3.640, 3.640 and 18.847 Å and the angles 90.00°, 90.00° and 90.00°. The inequivalent atoms are Ca at (0.000, 0.000, 0.000), Ca at (0.000, 0.000, 0.199), Ca at (0.000, 0.000, 0.398), Zn at (0.500, 0.500, 0.100), Zn at (0.500, 0.500, 0.299) and Ag at (0.500, 0.500, 0.500).

Here is an optimized crystal structure of Ca2Zn5Ag3 from Alexandria. Energies are from PBE.

The structure belongs to space group P-4m2 (No. 115); the cell edges are 4.061, 4.061 and 12.329 Å and the angles 90.00°, 90.00° and 90.00°. The inequivalent atoms are Ca at (0.000, 0.500, 0.232), Zn at (0.000, 0.000, 0.000), Zn at (0.000, 0.000, 0.500), Zn at (0.000, 0.500, 0.869), Zn at (0.500, 0.500, 0.000), Ag at (0.000, 0.500, 0.657) and Ag at (0.500, 0.500, 0.500).

Here is an optimized crystal structure of Ca2ZnAg4 from Alexandria. Energies are from PBE.

The structure belongs to space group Cmmm (No. 65); the cell edges are 5.413, 14.510 and 4.694 Å and the angles 90.00°, 90.00° and 90.00°. The inequivalent atoms are Ca at (0.000, 0.164, 0.000), Zn at (0.000, 0.500, 0.500), Ag at (0.000, 0.305, 0.500) and Ag at (0.000, 0.407, 0.000).

Here is an optimized crystal structure of Ca2ZnAg3 from Alexandria. Energies are from PBE.

The structure belongs to space group Fmmm (No. 69); the cell edges are 7.374, 9.363 and 16.334 Å and the angles 90.00°, 90.00° and 90.00°. The inequivalent atoms are Ca at (0.247, 0.000, 0.000), Ca at (0.250, 0.250, 0.250), Zn at (0.000, 0.000, 0.333), Ag at (0.000, 0.000, 0.171) and Ag at (0.000, 0.243, 0.415).

Here is an optimized crystal structure of Ca2Zn4Ag3 from Alexandria. Energies are from PBE.

The structure belongs to space group Fmmm (No. 69); the cell edges are 5.460, 9.825 and 13.697 Å and the angles 90.00°, 90.00° and 90.00°. The inequivalent atoms are Ca at (0.000, 0.000, 0.137), Zn at (0.000, 0.172, 0.330), Ag at (0.000, 0.000, 0.500) and Ag at (0.250, 0.250, 0.000).

Here is an optimized crystal structure of Ca2Zn2Ag from Alexandria. Energies are from PBE.

The structure belongs to space group P4/mbm (No. 127); the cell edges are 8.216, 8.216 and 3.951 Å and the angles 90.00°, 90.00° and 90.00°. The inequivalent atoms are Ca at (0.172, 0.328, 0.000), Zn at (0.120, 0.620, 0.500) and Ag at (0.000, 0.000, 0.000).

Here is an optimized crystal structure of CaZnAg4 from Alexandria. Energies are from PBE.

The structure belongs to space group Pmma (No. 51); the cell edges are 8.105, 4.094 and 7.331 Å and the angles 90.00°, 90.00° and 90.00°. The inequivalent atoms are Ca at (0.250, 0.000, 0.120), Zn at (0.250, 0.000, 0.718), Ag at (0.000, 0.000, 0.500), Ag at (0.051, 0.500, 0.810) and Ag at (0.250, 0.500, 0.450).

no.,final energy (eV per cell)
1,-48.0
2,-29.3
3,-43.0
4,-100.8
5,-50.3
6,-83.7
7,-23.1
8,-80.1
9,-46.0
10,-37.6
11,-16.4
12,-34.5
13,-39.5
14,-25.6
15,-20.5
16,-20.8
17,-34.4
18,-124.0
19,-77.0
20,-18.7
21,-31.0